The following is a PBE-GGA calculation of an optimized crystal structure of Tm3GaSe2, from the Open Quantum Materials Database.

The structure belongs to space group Immm (No. 71); the cell edges are 3.9416, 5.7391 and 12.5268 Å and the angles 90.00°, 90.00° and 90.00°. The inequivalent atoms are Tm at (0.0000, 0.0000, 0.0000), Tm at (0.0000, 0.0000, 0.3359), Ga at (0.0000, 0.5000, 0.0000) and Se at (0.0000, 0.5000, 0.3308).

The following is a PBE-GGA calculation of an optimized crystal structure of Tm2GaSe, from the Open Quantum Materials Database.

The structure belongs to space group Cmcm (No. 63); the cell edges are 4.1863, 21.9817 and 3.9774 Å and the angles 90.00°, 90.00° and 90.00°. The inequivalent atoms are Tm at (0.0000, 0.0656, 0.2500), Tm at (0.0000, 0.3235, 0.2500), Ga at (0.0000, 0.4596, 0.2500) and Se at (0.0000, 0.1934, 0.2500).

The following is a PBE-GGA calculation of an optimized crystal structure of TmZnGaSe3, from the Open Quantum Materials Database.

The structure belongs to space group Cmcm (No. 63); the cell edges are 4.0204, 14.0090 and 10.7005 Å and the angles 90.00°, 90.00° and 90.00°. The inequivalent atoms are Tm at (0.0000, 0.0000, 0.0000), Zn at (0.0000, 0.4659, 0.2500), Ga at (0.0000, 0.2427, 0.7500), Se at (0.0000, 0.0762, 0.2500) and Se at (0.0000, 0.3652, 0.0633).

Per-record E, eV per atom: -5.267 -5.066 -4.223